Ni2Pt2Au: relaxed, GGA-PBE.

Its total magnetic moment is 0.35 μB/atom. The energy relative to the lowest polymorph listed for this composition is 0.00 eV per formula unit. The value obtained for the formation energy is 0.08 eV per atom. The total energy comes out at -53.0 eV for the cell shown. The calculated density comes out at 15.68 Mg/m³.

a = 7.382 Å, b = 7.382 Å, c = 2.738 Å
α = 90.00°, β = 90.00°, γ = 90.00°
Each line ends with the local moment (μB).
Fractional coordinates of all 10 atoms:
1 Pt 0.868 0.632 0.000  0.26
2 Pt 0.132 0.368 0.000  0.26
3 Pt 0.632 0.132 0.000  0.26
4 Pt 0.368 0.868 0.000  0.26
5 Ni 0.834 0.334 0.500  0.63
6 Ni 0.166 0.666 0.500  0.63
7 Ni 0.666 0.834 0.500  0.62
8 Ni 0.334 0.166 0.500  0.62
9 Au 0.500 0.500 0.000  0.01
10 Au 0.000 0.000 0.000  0.01

AlZn2Ni6: relaxed, GGA-PBE.

Its total magnetic moment is 0.00 μB/atom. The value obtained for the formation energy is -0.21 eV per atom. The total energy comes out at -42.9 eV for the cell shown. The calculated density comes out at 8.03 Mg/m³.

a = 2.567 Å, b = 6.889 Å, c = 6.889 Å
α = 120.00°, β = 90.00°, γ = 90.00°
Fractional coordinates of all 9 atoms:
1 Ni 0.000 0.702 0.000
2 Ni 0.500 0.000 0.361
3 Ni 0.500 0.361 0.000
4 Ni 0.500 0.639 0.639
5 Ni 0.000 0.000 0.702
6 Ni 0.000 0.298 0.298
7 Zn 0.000 0.667 0.333
8 Zn 0.000 0.333 0.667
9 Al 0.500 0.000 0.000

Na5Sn3Cl12: relaxed, GGA-PBE.

Its total magnetic moment is 0.00 μB/atom. The total energy comes out at -262.8 eV for the cell shown. Its formation energy without anion corrections is -1.247 eV per atom. The calculated density comes out at 2.73 Mg/m³.

a = 14.155 Å, b = 14.155 Å, c = 14.155 Å
α = 109.47°, β = 109.47°, γ = 109.47°
Fractional coordinates of all 80 atoms:
1 Na 0.125 0.750 0.375
2 Na 0.250 0.875 0.125
3 Na 0.000 0.500 0.500
4 Na 0.625 0.750 0.875
5 Na 0.375 0.125 0.750
6 Na 0.875 0.250 0.625
7 Na 0.500 0.500 0.000
8 Na 0.000 0.000 0.000
9 Na 0.375 0.250 0.125
10 Na 0.250 0.375 0.625
11 Na 0.000 0.000 0.500
12 Na 0.500 0.000 0.000
13 Na 0.625 0.875 0.250
14 Na 0.875 0.625 0.750
15 Na 0.000 0.500 0.000
16 Na 0.500 0.000 0.500
17 Na 0.500 0.500 0.500
18 Na 0.125 0.375 0.250
19 Na 0.750 0.625 0.375
20 Na 0.750 0.125 0.875
21 Cl 0.550 0.225 0.131
22 Cl 0.131 0.407 0.081
23 Cl 0.275 0.407 0.826
24 Cl 0.631 0.581 0.907
25 Cl 0.407 0.275 0.326
26 Cl 0.450 0.674 0.081
27 Cl 0.581 0.950 0.674
28 Cl 0.725 0.593 0.174
29 Cl 0.907 0.081 0.631
30 Cl 0.725 0.131 0.050
31 Cl 0.131 0.725 0.550
32 Cl 0.081 0.174 0.450
33 Cl 0.326 0.550 0.419
34 Cl 0.225 0.674 0.093
35 Cl 0.950 0.369 0.275
36 Cl 0.919 0.826 0.550
37 Cl 0.593 0.869 0.419
38 Cl 0.093 0.174 0.225
39 Cl 0.275 0.869 0.950
40 Cl 0.326 0.775 0.407
41 Cl 0.950 0.581 0.174
42 Cl 0.174 0.081 0.950
43 Cl 0.631 0.050 0.225
44 Cl 0.826 0.919 0.050
45 Cl 0.593 0.725 0.674
46 Cl 0.775 0.326 0.907
47 Cl 0.869 0.275 0.450
48 Cl 0.775 0.450 0.369
49 Cl 0.174 0.093 0.725
50 Cl 0.869 0.593 0.919
51 Cl 0.450 0.775 0.869
52 Cl 0.581 0.631 0.407
53 Cl 0.050 0.419 0.826
54 Cl 0.919 0.093 0.869
55 Cl 0.550 0.326 0.919
56 Cl 0.907 0.826 0.775
57 Cl 0.050 0.631 0.725
58 Cl 0.369 0.419 0.093
59 Cl 0.826 0.907 0.275
60 Cl 0.419 0.050 0.326
61 Cl 0.225 0.550 0.631
62 Cl 0.407 0.131 0.581
63 Cl 0.081 0.907 0.131
64 Cl 0.369 0.950 0.775
65 Cl 0.093 0.919 0.369
66 Cl 0.674 0.450 0.581
67 Cl 0.674 0.225 0.593
68 Cl 0.419 0.369 0.593
69 Sn 0.875 0.750 0.125
70 Sn 0.375 0.625 0.250
71 Sn 0.625 0.375 0.750
72 Sn 0.625 0.250 0.375
73 Sn 0.125 0.875 0.750
74 Sn 0.250 0.625 0.875
75 Sn 0.250 0.125 0.375
76 Sn 0.750 0.875 0.625
77 Sn 0.125 0.250 0.875
78 Sn 0.375 0.750 0.625
79 Sn 0.750 0.375 0.125
80 Sn 0.875 0.125 0.250

Zr4SbPb: relaxed, GGA-PBE.

Its total magnetic moment is 0.00 μB/atom. The energy relative to the lowest polymorph listed for this composition is 1.77 eV per formula unit. The total energy comes out at -42.0 eV for the cell shown. Its formation energy without anion corrections is 0.004 eV per atom. The calculated density comes out at 7.95 Mg/m³.

a = 3.135 Å, b = 5.104 Å, c = 9.648 Å
α = 85.24°, β = 80.65°, γ = 72.12°
Fractional coordinates of all 6 atoms:
1 Zr 0.651 0.537 0.160
2 Zr 0.148 0.034 0.670
3 Zr 0.852 0.966 0.330
4 Zr 0.349 0.463 0.840
5 Pb 0.500 0.500 0.500
6 Sb 0.000 0.000 0.000

PuIn4Au4: relaxed, GGA-PBE.

Its total magnetic moment is 0.66 μB/atom. The value obtained for the formation energy is -0.17 eV per atom. The total energy comes out at -79.8 eV for the cell shown. The calculated density comes out at 11.48 Mg/m³.

a = 6.853 Å, b = 6.853 Å, c = 9.188 Å
α = 90.00°, β = 90.00°, γ = 90.00°
Each line ends with the local moment (μB).
Fractional coordinates of all 18 atoms:
1 In 0.500 0.232 0.108  0.00
2 In 0.000 0.268 0.392  0.00
3 In 0.000 0.732 0.392  0.00
4 In 0.232 0.500 0.892  0.00
5 In 0.500 0.768 0.108  0.00
6 In 0.268 0.000 0.608  0.00
7 In 0.732 0.000 0.608  0.00
8 In 0.768 0.500 0.892  0.00
9 Au 0.500 0.785 0.804  0.00
10 Au 0.000 0.285 0.696  0.00
11 Au 0.500 0.215 0.804  0.00
12 Au 0.285 0.000 0.304  0.00
13 Au 0.000 0.715 0.696  0.00
14 Au 0.785 0.500 0.196  0.00
15 Au 0.215 0.500 0.196  0.00
16 Au 0.715 0.000 0.304  0.00
17 Pu 0.000 0.000 0.000  5.63
18 Pu 0.500 0.500 0.500  5.63

Cu2NiIr: relaxed, GGA-PBE.

Its total magnetic moment is 0.16 μB/atom. The energy relative to the lowest polymorph listed for this composition is 0.24 eV per formula unit. The value obtained for the formation energy is 0.11 eV per atom. The total energy comes out at -22.4 eV for the cell shown. The calculated density comes out at 12.41 Mg/m³.

a = 2.634 Å, b = 2.634 Å, c = 8.555 Å
α = 81.15°, β = 81.15°, γ = 60.00°
Each line ends with the local moment (μB).
Fractional coordinates of all 4 atoms:
1 Ir 0.500 0.500 0.501  0.18
2 Cu 0.254 0.254 0.238  0.03
3 Cu 0.079 0.079 0.762  0.03
4 Ni 0.667 0.667 0.999  0.45

SmHoTeSe: relaxed, GGA-PBE.

Its total magnetic moment is 0.00 μB/atom. The total energy comes out at -22.2 eV for the cell shown. Its formation energy without anion corrections is -1.574 eV per atom. The calculated density comes out at 7.96 Mg/m³.

a = 4.118 Å, b = 4.119 Å, c = 7.783 Å
α = 90.00°, β = 105.33°, γ = 120.01°
Fractional coordinates of all 4 atoms:
1 Sm 0.116 0.956 0.087
2 Se 0.300 0.548 0.863
3 Ho 0.489 0.143 0.648
4 Te 0.973 0.384 0.372

ZnCdP2Cl: relaxed, GGA-PBE.

Its total magnetic moment is 0.20 μB/atom. The energy relative to the lowest polymorph listed for this composition is 0.00 eV per formula unit. The total energy comes out at -12.4 eV for the cell shown. Its formation energy without anion corrections is 0.499 eV per atom. The calculated density comes out at 4.12 Mg/m³.

a = 4.654 Å, b = 4.654 Å, c = 5.126 Å
α = 90.00°, β = 90.00°, γ = 90.00°
Each line ends with the local moment (μB).
Fractional coordinates of all 5 atoms:
1 Cd 0.500 0.500 0.500  -0.02
2 Cl 0.000 0.000 0.500  0.09
3 Zn 0.000 0.000 0.000  0.00
4 P 0.000 0.500 0.000  0.21
5 P 0.500 0.000 0.000  0.21

PuPd4Pt2: relaxed, GGA-PBE.

Its total magnetic moment is 0.68 μB/atom. The value obtained for the formation energy is -0.36 eV per atom. The total energy comes out at -49.7 eV for the cell shown. The calculated density comes out at 14.40 Mg/m³.

a = 5.370 Å, b = 5.467 Å, c = 5.467 Å
α = 76.15°, β = 60.77°, γ = 60.76°
Each line ends with the local moment (μB).
Fractional coordinates of all 7 atoms:
1 Pd 0.705 0.590 0.000  -0.09
2 Pd 0.295 0.410 0.000  -0.09
3 Pd 0.295 0.000 0.410  -0.09
4 Pd 0.705 0.000 0.590  -0.09
5 Pt 0.750 0.500 0.500  -0.06
6 Pt 0.250 0.500 0.500  -0.06
7 Pu 0.000 0.000 0.000  5.00

YSi2W: relaxed, GGA-PBE.

Its total magnetic moment is 0.00 μB/atom. The energy relative to the lowest polymorph listed for this composition is 1.16 eV per formula unit. The total energy comes out at -30.5 eV for the cell shown. Its formation energy without anion corrections is -0.057 eV per atom. The calculated density comes out at 7.55 Mg/m³.

a = 3.278 Å, b = 3.278 Å, c = 6.734 Å
α = 90.00°, β = 90.00°, γ = 90.00°
Fractional coordinates of all 4 atoms:
1 W 0.000 0.000 0.428
2 Si 0.000 0.000 0.055
3 Si 0.500 0.500 0.265
4 Y 0.500 0.500 0.752

TaCd3Bi: relaxed, GGA-PBE.

Its total magnetic moment is 0.00 μB/atom. The value obtained for the formation energy is 1.03 eV per atom. The total energy comes out at -13.3 eV for the cell shown. The calculated density comes out at 7.76 Mg/m³.

a = 5.378 Å, b = 5.378 Å, c = 5.378 Å
α = 90.00°, β = 90.00°, γ = 90.00°
Fractional coordinates of all 5 atoms:
1 Cd 0.000 0.000 0.500
2 Cd 0.500 0.000 0.000
3 Cd 0.000 0.500 0.000
4 Bi 0.500 0.500 0.500
5 Ta 0.000 0.000 0.000

Cr3BSb: relaxed, GGA-PBE.

Its total magnetic moment is 0.00 μB/atom. The energy relative to the lowest polymorph listed for this composition is 0.00 eV per formula unit. The total energy comes out at -38.5 eV for the cell shown. Its formation energy without anion corrections is 0.239 eV per atom. The calculated density comes out at 7.53 Mg/m³.

a = 3.993 Å, b = 3.993 Å, c = 3.993 Å
α = 90.00°, β = 90.00°, γ = 90.00°
Fractional coordinates of all 5 atoms:
1 Cr 0.500 0.000 0.000
2 Cr 0.000 0.500 0.000
3 Cr 0.000 0.000 0.500
4 Sb 0.500 0.500 0.500
5 B 0.000 0.000 0.000